(A)
This record from the Alexandria database describes a relaxed structure of SrYCoO4. The functional is PBE+U.

Cell: 6.6547 7.6816 8.4307 Å, 116.93 96.99 106.67°
With the nearest neighbours (Å) after each atom.
Fractional positions:
Sr 0.0000 0.0000 0.0000  3 O 2.37-2.53
Sr 0.0017 0.2438 0.4987  2 O 2.37-2.53
Sr 0.9959 0.4834 0.9957  4 O 2.39-2.64
Sr 0.9984 0.7391 0.4968  5 O 2.39-2.65
Y 0.5602 0.7086 0.1295  5 O 2.20-2.45
Y 0.5629 0.4334 0.6114  7 O 2.25-2.50
Y 0.5634 0.9621 0.6655  7 O 2.29-2.55
Y 0.5691 0.2149 0.1445  7 O 2.33-2.56
Co 0.2763 0.7196 0.8187  6 O 1.88-2.10
Co 0.2818 0.9691 0.3163  5 O 1.85-2.07
Co 0.2879 0.2228 0.8172  5 O 1.89-1.94
Co 0.2925 0.4788 0.3216  6 O 1.90-2.08
O 0.2742 0.2234 0.3128  2 Co 1.90-1.98
O 0.2795 0.8367 0.0696  2 Co 1.85-1.88
O 0.2886 0.9837 0.8300  2 Co 1.89-1.96
O 0.3023 0.0971 0.5688  2 Co 1.86-1.90
O 0.3293 0.6197 0.5838  2 Co 1.89-1.91
O 0.3314 0.3786 0.0793  2 Co 1.91
O 0.3329 0.4819 0.8193  2 Co 1.92-1.97
O 0.3598 0.7498 0.3436  2 Co 1.91-2.00
O 0.6047 0.3117 0.8857  1 Co 1.94
O 0.6097 0.5576 0.4045  1 Co 1.96
O 0.6125 0.8876 0.9297  1 Co 2.07
O 0.6161 0.1300 0.3840  1 Co 2.07
O 0.9202 0.8249 0.2307  1 Y 2.20, 1 Co 2.21
O 0.9317 0.5832 0.7285  1 Co 2.10, 1 Y 2.25
O 0.9370 0.0986 0.7329  1 Co 2.14, 1 Y 2.29
O 0.9518 0.3670 0.2341  1 Co 2.08

(B)
This record from the Alexandria database describes a relaxed structure of SrYCoO4. The functional is PBE+U.

Cell: 6.7174 6.7174 6.7174 Å, 147.30 147.30 46.93°
With the nearest neighbours (Å) after each atom.
Fractional positions:
Sr 0.0000 0.0000 0.0000  1 O 2.37
Y 0.7164 0.7164 0.0000  5 O 2.23-2.45
Co 0.3564 0.3564 0.0000  5 O 1.90-2.02
O 0.1925 0.1925 0.0000  1 Co 2.02
O 0.3430 0.8430 0.5000  2 Co 1.90
O 0.5353 0.5353 0.0000  1 Co 2.21, 1 Y 2.23
O 0.8430 0.3430 0.5000  2 Co 1.90

(C)
This record from the Alexandria database describes a relaxed structure of SrYCoO4. The functional is PBE+U.

Cell: 6.6104 6.6104 5.5259 Å, 90.22 90.22 47.63°
With the nearest neighbours (Å) after each atom.
Fractional positions:
Sr 0.0000 0.0000 0.0000  4 O 2.39-2.58
Sr 0.5000 0.5000 0.4814  4 O 2.35-2.59
Y 0.2832 0.2832 0.9605  6 O 2.26-2.50
Y 0.7815 0.7815 0.5106  4 O 2.20-2.42
Co 0.1414 0.1414 0.4862  6 O 1.98-2.18
Co 0.6461 0.6461 0.9882  5 O 1.88-1.95
O 0.3087 0.3087 0.5565  1 Co 2.06, 1 Y 2.26
O 0.3926 0.8859 0.7470  2 Co 1.88-1.98
O 0.4253 0.9179 0.2317  2 Co 1.91-1.99
O 0.4692 0.4692 0.0199  1 Co 2.15, 1 Y 2.27
O 0.8049 0.8049 0.9278  1 Co 1.95
O 0.8859 0.3926 0.7470  2 Co 1.88-1.98
O 0.9179 0.4253 0.2317  2 Co 1.91-1.99
O 0.9620 0.9620 0.4576  1 Co 2.18, 1 Y 2.20

(D)
This record from the Alexandria database describes a relaxed structure of SrYCoO4. The functional is PBE+U.

Cell: 6.6005 6.6005 15.1177 Å, 106.64 106.64 33.22°
With the nearest neighbours (Å) after each atom.
Fractional positions:
Sr 0.0000 0.0000 0.0000  5 O 2.39-2.67
Sr 0.0002 0.0002 0.2497  2 O 2.38-2.66
Sr 0.9968 0.9968 0.4979  3 O 2.37-2.63
Sr 0.9974 0.9974 0.7512  3 O 2.35-2.61
Y 0.2779 0.2779 0.5668  5 O 2.25-2.45
Y 0.2787 0.2787 0.3179  5 O 2.28-2.40
Y 0.2799 0.2799 0.0714  5 O 2.29-2.39
Y 0.2797 0.2797 0.8228  5 O 2.28-2.48
Co 0.6375 0.6375 0.6599  6 O 1.90-2.09
Co 0.6385 0.6385 0.4096  6 O 1.87-2.06
Co 0.6393 0.6393 0.9100  6 O 1.86-2.06
Co 0.6398 0.6398 0.1596  6 O 1.90-2.06
O 0.1553 0.1553 0.6639  2 Co 1.90
O 0.1571 0.1571 0.1639  2 Co 1.90
O 0.1565 0.1565 0.4124  2 Co 1.90
O 0.1577 0.1577 0.9163  2 Co 1.90
O 0.4643 0.4643 0.6155  1 Co 2.09, 1 Y 2.25
O 0.4675 0.4675 0.3659  1 Co 2.06, 1 Y 2.28
O 0.4684 0.4684 0.8694  1 Co 2.06, 1 Y 2.28
O 0.4692 0.4692 0.1167  1 Co 2.06, 1 Y 2.29
O 0.6466 0.6466 0.7887  2 Co 1.86-1.92
O 0.6483 0.6483 0.5355  2 Co 1.87-1.93
O 0.6574 0.6574 0.2889  2 Co 1.90-1.91
O 0.6596 0.6596 0.0401  2 Co 1.90-1.91
O 0.8005 0.8005 0.4548  1 Co 1.96
O 0.8025 0.8025 0.7029  1 Co 1.99
O 0.8019 0.8019 0.9443  1 Co 1.97
O 0.8027 0.8027 0.2008  1 Co 1.97

Structures ranked by computed energy, the most stable listed first: (C), (A), (D), (B).

(A)
This record from the Alexandria database describes a relaxed structure of Sr3ZnCoO6. The functional is PBE+U.

Cell: 6.5722 9.3018 9.6573 Å, 91.45 90.75 93.70°
With the nearest neighbours (Å) after each atom.
Fractional positions:
Sr 0.1095 0.0628 0.3198  8 O 2.50-2.70
Sr 0.1192 0.5712 0.8158  8 O 2.53-2.71
Sr 0.2447 0.7430 0.1389  8 O 2.52-2.80
Sr 0.2551 0.2543 0.6332  8 O 2.47-2.70
Sr 0.3813 0.4261 0.3176  8 O 2.53-2.79
Sr 0.3875 0.9360 0.8173  8 O 2.55-2.72
Sr 0.6125 0.0640 0.1827  8 O 2.55-2.72
Sr 0.6187 0.5739 0.6824  8 O 2.53-2.79
Sr 0.7449 0.7457 0.3668  8 O 2.47-2.70
Sr 0.7553 0.2570 0.8611  8 O 2.52-2.80
Sr 0.8808 0.4288 0.1842  8 O 2.53-2.71
Sr 0.8905 0.9372 0.6802  8 O 2.50-2.70
Zn 0.2446 0.2576 0.9913  4 O 2.04-2.23
Zn 0.2501 0.7492 0.4999  6 O 2.15-2.24
Zn 0.7499 0.2508 0.5001  6 O 2.15-2.24
Zn 0.7554 0.7424 0.0087  4 O 2.04-2.23
Co 0.0000 0.0000 0.0000  4 O 1.85-1.94
Co 0.0000 0.5000 0.5000  6 O 1.91-1.94
Co 0.5000 0.0000 0.5000  6 O 1.91-1.96
Co 0.5000 0.5000 0.0000  6 O 1.90-1.97
O 0.0363 0.3164 0.4065  1 Co 1.94, 1 Zn 2.16
O 0.0365 0.8201 0.8995  1 Co 1.94
O 0.0880 0.6117 0.3419  1 Co 1.94
O 0.1075 0.1329 0.8362  1 Zn 2.04, 1 Co 2.13
O 0.2193 0.4766 0.0561  1 Co 1.93, 1 Zn 2.13
O 0.2257 0.9812 0.5630  1 Co 1.91
O 0.2650 0.0063 0.0678  1 Co 1.85
O 0.2767 0.5220 0.5629  1 Co 1.91
O 0.4088 0.8826 0.3423  1 Co 1.92
O 0.4224 0.3968 0.8332  1 Co 1.90
O 0.4615 0.1803 0.4046  1 Co 1.96, 1 Zn 2.15
O 0.4688 0.6884 0.9159  1 Co 1.97, 1 Zn 2.10
O 0.5312 0.3116 0.0841  1 Co 1.97, 1 Zn 2.10
O 0.5385 0.8197 0.5954  1 Co 1.96, 1 Zn 2.15
O 0.5776 0.6032 0.1668  1 Co 1.90
O 0.5912 0.1174 0.6577  1 Co 1.92
O 0.7233 0.4780 0.4371  1 Co 1.91
O 0.7350 0.9937 0.9322  1 Co 1.85
O 0.7743 0.0188 0.4370  1 Co 1.91
O 0.7807 0.5234 0.9439  1 Co 1.93, 1 Zn 2.13
O 0.8925 0.8671 0.1638  1 Zn 2.04, 1 Co 2.13
O 0.9120 0.3883 0.6581  1 Co 1.94
O 0.9635 0.1799 0.1005  1 Co 1.94
O 0.9637 0.6836 0.5935  1 Co 1.94, 1 Zn 2.16

(B)
This record from the Alexandria database describes a relaxed structure of Sr3ZnCoO6. The functional is PBE+U.

Cell: 6.6314 6.6314 6.6314 Å, 92.54 92.54 92.54°
With the nearest neighbours (Å) after each atom.
Fractional positions:
Sr 0.1150 0.7500 0.3850  8 O 2.53-2.69
Sr 0.2500 0.6150 0.8850  8 O 2.53-2.69
Sr 0.3850 0.1150 0.7500  8 O 2.53-2.69
Sr 0.6150 0.8850 0.2500  8 O 2.53-2.69
Sr 0.7500 0.3850 0.1150  8 O 2.53-2.69
Sr 0.8850 0.2500 0.6150  8 O 2.53-2.69
Zn 0.2500 0.2500 0.2500  6 O 2.19
Zn 0.7500 0.7500 0.7500  6 O 2.19
Co 0.0000 0.0000 0.0000  6 O 1.93
Co 0.5000 0.5000 0.5000  6 O 1.93
O 0.0411 0.9124 0.7245  1 Co 1.93
O 0.0876 0.2755 0.9589  1 Co 1.93
O 0.2245 0.4124 0.5411  1 Co 1.93
O 0.2755 0.9589 0.0876  1 Co 1.93
O 0.4124 0.5411 0.2245  1 Co 1.93
O 0.4589 0.7755 0.5876  1 Co 1.93
O 0.5411 0.2245 0.4124  1 Co 1.93
O 0.5876 0.4589 0.7755  1 Co 1.93
O 0.7245 0.0411 0.9124  1 Co 1.93
O 0.7755 0.5876 0.4589  1 Co 1.93
O 0.9124 0.7245 0.0411  1 Co 1.93
O 0.9589 0.0876 0.2755  1 Co 1.93

Structures ranked by computed energy, the most stable listed first: (A), (B).